Record 1
NiAgSe2: optimized geometry, PBE.

The value obtained for the mass density is 5.94 g cm⁻³. As for the formation energy from raw total energies: -95 meV per atom. For the total energy, the calculation gives -3.995 eV/atom.

The space group is I-42d (No. 122) and the conventional cell measures 5.816, 5.816 and 10.722 Å, with angles of 90.00, 90.00 and 90.00 degrees. The inequivalent atoms are Ni at (0.000, 0.000, 0.000), Ag at (0.000, 0.000, 0.500) and Se at (0.199, 0.250, 0.125).



Record 2
HfPbI2: optimized geometry, PBE.

The value obtained for the mass density is 6.94 g cm⁻³. As for the formation energy from raw total energies: 6 meV per atom. For the total energy, the calculation gives -4.184 eV/atom.

The space group is I-42d (No. 122) and the conventional cell measures 10.216, 10.216 and 5.865 Å, with angles of 90.00, 90.00 and 90.00 degrees. The inequivalent atoms are Hf at (0.000, 0.000, 0.000), Pb at (0.000, 0.000, 0.500) and I at (0.111, 0.250, 0.125).